Record 1
! GGA+U Fe3Ni2P6WO24, relaxed; values from VASP
&SYSTEM
  ibrav = 0, nat = 36, ntyp = 5
/
ATOMIC_SPECIES
Fe 55.84 Fe.upf
Ni 58.69 Ni.upf
P 30.97 P.upf
W 183.84 W.upf
O 16.00 O.upf
ATOMIC_POSITIONS crystal
Fe 0.0000 0.0000 0.0000
Fe 0.2120 0.2120 0.2120
Fe 0.4988 0.4988 0.4988
Ni 0.3560 0.3560 0.3560
Ni 0.8600 0.8600 0.8600
P 0.1111 0.8100 0.3940
P 0.3051 0.6022 0.9031
P 0.3940 0.1111 0.8100
P 0.6022 0.9031 0.3051
P 0.8100 0.3940 0.1111
P 0.9031 0.3051 0.6022
W 0.7131 0.7131 0.7131
O 0.0342 0.8526 0.2453
O 0.0989 0.3004 0.4465
O 0.1118 0.7642 0.9151
O 0.1688 0.9680 0.3632
O 0.2453 0.0342 0.8526
O 0.2656 0.6120 0.4131
O 0.3004 0.4465 0.0989
O 0.3547 0.5349 0.7452
O 0.3632 0.1688 0.9680
O 0.4131 0.2656 0.6120
O 0.4465 0.0989 0.3004
O 0.4662 0.6757 0.8565
O 0.5349 0.7452 0.3547
O 0.5980 0.9468 0.7906
O 0.6120 0.4131 0.2656
O 0.6757 0.8565 0.4662
O 0.7452 0.3547 0.5349
O 0.7642 0.9151 0.1118
O 0.7906 0.5980 0.9468
O 0.8526 0.2453 0.0342
O 0.8565 0.4662 0.6757
O 0.9151 0.1118 0.7642
O 0.9468 0.7906 0.5980
O 0.9680 0.3632 0.1688
CELL_PARAMETERS angstrom
4.3296 2.4997 6.9111
-4.3296 2.4997 6.9111
0.0000 -4.9994 6.9111
! density	3.8	g cm⁻³
! crystal system	trigonal
! space-group type	R3 (146)
! raw total energy	-250.86	eV/cell
! total magnetization	19.99	μB per formula unit



Record 2
! GGA+U Pa2FeNiO8, relaxed; values from VASP
&SYSTEM
  ibrav = 0, nat = 12, ntyp = 4
/
ATOMIC_SPECIES
Pa 231.04 Pa.upf
Fe 55.84 Fe.upf
Ni 58.69 Ni.upf
O 16.00 O.upf
ATOMIC_POSITIONS crystal
Pa 0.0000 0.0000 0.0000
Pa 0.7500 0.2500 0.5000
Fe 0.5000 0.5000 0.0000
Ni 0.2500 0.7500 0.5000
O 0.0712 0.0137 0.4159
O 0.1405 0.5939 0.9037
O 0.3448 0.9288 0.9426
O 0.4061 0.3099 0.5466
O 0.5978 0.6552 0.5841
O 0.6901 0.2367 0.0963
O 0.7633 0.8595 0.4534
O 0.9863 0.4022 0.0574
CELL_PARAMETERS angstrom
-2.5821 2.5821 5.4928
2.5821 -2.5821 5.4928
2.5821 2.5821 -5.4928
! density	8.0	g cm⁻³
! crystal system	tetragonal
! space-group type	I-4 (82)
! raw total energy	-96.63	eV/cell
! total magnetization	8.02	μB per formula unit



Record 3
! GGA+U PaFe2NiO8, relaxed; values from VASP
&SYSTEM
  ibrav = 0, nat = 12, ntyp = 4
/
ATOMIC_SPECIES
Pa 231.04 Pa.upf
Fe 55.84 Fe.upf
Ni 58.69 Ni.upf
O 16.00 O.upf
ATOMIC_POSITIONS crystal
Pa 0.0000 0.0000 0.0000
Fe 0.5000 0.5000 0.0000
Fe 0.7500 0.2500 0.5000
Ni 0.2500 0.7500 0.5000
O 0.0823 0.0309 0.4369
O 0.1299 0.5817 0.8984
O 0.3546 0.9177 0.9486
O 0.4183 0.3167 0.5482
O 0.5940 0.6454 0.5631
O 0.6833 0.2315 0.1016
O 0.7685 0.8701 0.4518
O 0.9691 0.4060 0.0514
CELL_PARAMETERS angstrom
-2.5636 2.5636 5.1241
2.5636 -2.5636 5.1241
2.5636 2.5636 -5.1241
! density	6.5	g cm⁻³
! crystal system	tetragonal
! space-group type	I-4 (82)
! raw total energy	-80.57	eV/cell
! total magnetization	10.94	μB per formula unit



Record 4
! GGA+U Pm2FeNiO6, relaxed; values from VASP
&SYSTEM
  ibrav = 0, nat = 20, ntyp = 4
/
ATOMIC_SPECIES
Pm 145.00 Pm.upf
Fe 55.84 Fe.upf
Ni 58.69 Ni.upf
O 16.00 O.upf
ATOMIC_POSITIONS crystal
Pm 0.2333 0.0610 0.2496
Pm 0.2333 0.4390 0.7496
Pm 0.7667 0.5610 0.2504
Pm 0.7667 0.9390 0.7504
Fe 0.5000 0.0000 0.0000
Fe 0.5000 0.5000 0.5000
Ni 0.0000 0.0000 0.5000
Ni 0.0000 0.5000 0.0000
O 0.1639 0.1984 0.9552
O 0.1639 0.3016 0.4552
O 0.2542 0.7107 0.9518
O 0.2542 0.7893 0.4518
O 0.3474 0.0220 0.7589
O 0.3474 0.4780 0.2589
O 0.6526 0.5220 0.7411
O 0.6526 0.9780 0.2411
O 0.7458 0.2107 0.5482
O 0.7458 0.2893 0.0482
O 0.8361 0.6984 0.5448
O 0.8361 0.8016 0.0448
CELL_PARAMETERS angstrom
5.3954 0.0000 0.0000
0.0000 5.6212 0.0000
-5.3933 0.0000 7.6342
! density	7.2	g cm⁻³
! crystal system	monoclinic
! space-group type	P2_1/c (14)
! raw total energy	-140.05	eV/cell
! total magnetization	3.96	μB per formula unit



Record 5
! GGA+U PuFeNiO6, relaxed; values from VASP
&SYSTEM
  ibrav = 0, nat = 18, ntyp = 4
/
ATOMIC_SPECIES
Pu 244.00 Pu.upf
Fe 55.84 Fe.upf
Ni 58.69 Ni.upf
O 16.00 O.upf
ATOMIC_POSITIONS crystal
Pu 0.3333 0.6667 0.2500
Pu 0.6667 0.3333 0.7500
Fe 0.0000 0.0000 0.0000
Fe 0.0000 0.0000 0.5000
Ni 0.3333 0.6667 0.7500
Ni 0.6667 0.3333 0.2500
O 0.0059 0.3296 0.1248
O 0.0059 0.6763 0.3752
O 0.3237 0.3296 0.3752
O 0.3237 0.9941 0.1248
O 0.3296 0.0059 0.6248
O 0.3296 0.3237 0.8752
O 0.6704 0.6763 0.1248
O 0.6704 0.9941 0.3752
O 0.6763 0.0059 0.8752
O 0.6763 0.6704 0.6248
O 0.9941 0.3237 0.6248
O 0.9941 0.6704 0.8752
CELL_PARAMETERS angstrom
5.1032 0.0000 0.0000
-2.5516 4.4195 0.0000
0.0000 0.0000 8.8129
! density	7.6	g cm⁻³
! crystal system	trigonal
! space-group type	P-31c (163)
! raw total energy	-131.50	eV/cell
! total magnetization	3.99	μB per formula unit



Record 6
! GGA+U RbFeNiO2, relaxed; values from VASP
&SYSTEM
  ibrav = 0, nat = 5, ntyp = 4
/
ATOMIC_SPECIES
Rb 85.47 Rb.upf
Fe 55.84 Fe.upf
Ni 58.69 Ni.upf
O 16.00 O.upf
ATOMIC_POSITIONS crystal
Rb 0.0000 0.0000 0.0000
Fe 0.5000 0.5000 0.5000
Ni 0.5000 0.5000 0.0000
O 0.0000 0.5000 0.5000
O 0.5000 0.0000 0.5000
CELL_PARAMETERS angstrom
4.0182 0.0000 0.0000
0.0000 4.0182 0.0000
0.0000 0.0000 4.7482
! density	5.0	g cm⁻³
! crystal system	tetragonal
! space-group type	P4/mmm (123)
! raw total energy	-20.09	eV/cell
! total magnetization	4.94	μB per formula unit



Record 7
! GGA+U Rb2FeNiO4, relaxed; values from VASP
&SYSTEM
  ibrav = 0, nat = 16, ntyp = 4
/
ATOMIC_SPECIES
Rb 85.47 Rb.upf
Fe 55.84 Fe.upf
Ni 58.69 Ni.upf
O 16.00 O.upf
ATOMIC_POSITIONS crystal
Rb 0.0529 0.0529 0.6971
Rb 0.3029 0.3029 0.9471
Rb 0.6971 0.6971 0.0529
Rb 0.9471 0.9471 0.3029
Fe 0.3750 0.3750 0.3750
Fe 0.6250 0.6250 0.6250
Ni 0.1250 0.1250 0.1250
Ni 0.8750 0.8750 0.8750
O 0.0128 0.6622 0.5546
O 0.2704 0.5546 0.6622
O 0.3378 0.9872 0.7296
O 0.4454 0.7296 0.9872
O 0.5546 0.2704 0.0128
O 0.6622 0.0128 0.2704
O 0.7296 0.4454 0.3378
O 0.9872 0.3378 0.4454
CELL_PARAMETERS angstrom
0.0000 6.2035 9.8145
2.6435 0.0000 9.8145
2.6435 6.2035 0.0000
! density	3.6	g cm⁻³
! crystal system	orthorhombic
! space-group type	Fddd (70)
! raw total energy	-78.27	eV/cell
! total magnetization	5.99	μB per formula unit



Record 8
! GGA+U FeNi2RhO6, relaxed; values from VASP
&SYSTEM
  ibrav = 0, nat = 10, ntyp = 4
/
ATOMIC_SPECIES
Fe 55.84 Fe.upf
Ni 58.69 Ni.upf
Rh 102.91 Rh.upf
O 16.00 O.upf
ATOMIC_POSITIONS crystal
Fe 0.0000 0.0000 0.0000
Ni 0.2922 0.2922 0.2922
Ni 0.7968 0.7968 0.7968
Rh 0.4922 0.4922 0.4922
O 0.0969 0.7041 0.3902
O 0.2102 0.5967 0.8822
O 0.3902 0.0969 0.7041
O 0.5967 0.8822 0.2102
O 0.7041 0.3902 0.0969
O 0.8822 0.2102 0.5967
CELL_PARAMETERS angstrom
2.5516 1.4731 4.5850
-2.5516 1.4731 4.5850
0.0000 -2.9463 4.5850
! density	6.0	g cm⁻³
! crystal system	trigonal
! space-group type	R3 (146)
! raw total energy	-57.63	eV/cell
! total magnetization	7.00	μB per formula unit



Record 9
! GGA+U Fe2NiRhO6, relaxed; values from VASP
&SYSTEM
  ibrav = 0, nat = 10, ntyp = 4
/
ATOMIC_SPECIES
Fe 55.84 Fe.upf
Ni 58.69 Ni.upf
Rh 102.91 Rh.upf
O 16.00 O.upf
ATOMIC_POSITIONS crystal
Fe 0.0000 0.0000 0.0000
Fe 0.4945 0.0118 0.4788
Ni 0.2047 0.5926 0.6057
Rh 0.6950 0.6100 0.0786
O 0.0981 0.1149 0.2891
O 0.2997 0.0951 0.7957
O 0.4180 0.4852 0.2994
O 0.6046 0.5032 0.7914
O 0.7939 0.7983 0.2935
O 0.9024 0.8040 0.7977
CELL_PARAMETERS angstrom
5.1059 0.0000 0.0000
2.5442 4.4594 0.0000
0.0276 2.9264 4.6189
! density	5.8	g cm⁻³
! crystal system	triclinic
! space-group type	P1 (1)
! raw total energy	-61.37	eV/cell
! total magnetization	8.99	μB per formula unit



Record 10
! GGA+U FeNi2RuO6, relaxed; values from VASP
&SYSTEM
  ibrav = 0, nat = 10, ntyp = 4
/
ATOMIC_SPECIES
Fe 55.84 Fe.upf
Ni 58.69 Ni.upf
Ru 101.07 Ru.upf
O 16.00 O.upf
ATOMIC_POSITIONS crystal
Fe 0.0000 0.0000 0.0000
Ni 0.0000 0.5000 0.1304
Ni 0.5000 0.0000 0.1304
Ru 0.5000 0.5000 0.0174
O 0.0000 0.0000 0.5111
O 0.2541 0.2541 0.0439
O 0.2541 0.7459 0.0439
O 0.5000 0.5000 0.5270
O 0.7459 0.2541 0.0439
O 0.7459 0.7459 0.0439
CELL_PARAMETERS angstrom
5.7459 0.0000 0.0000
0.0000 5.7459 0.0000
0.0000 0.0000 3.7723
! density	4.9	g cm⁻³
! crystal system	tetragonal
! space-group type	P4mm (99)
! raw total energy	-56.88	eV/cell
! total magnetization	9.86	μB per formula unit



Record 11
! GGA+U Fe2NiSbO6, relaxed; values from VASP
&SYSTEM
  ibrav = 0, nat = 10, ntyp = 4
/
ATOMIC_SPECIES
Fe 55.84 Fe.upf
Ni 58.69 Ni.upf
Sb 121.76 Sb.upf
O 16.00 O.upf
ATOMIC_POSITIONS crystal
Fe 0.0000 0.0000 0.0000
Fe 0.0311 0.5167 0.5479
Ni 0.5994 0.8022 0.3982
Sb 0.6234 0.3120 0.9374
O 0.1038 0.3887 0.2076
O 0.1298 0.1993 0.7333
O 0.4820 0.0966 0.2028
O 0.5366 0.9272 0.7335
O 0.8046 0.6003 0.7307
O 0.8173 0.7224 0.2027
CELL_PARAMETERS angstrom
5.1538 0.0000 0.0000
-2.5627 4.4794 0.0000
-2.5179 -1.5309 4.7075
! density	5.9	g cm⁻³
! crystal system	triclinic
! space-group type	P1 (1)
! raw total energy	-59.96	eV/cell
! total magnetization	7.00	μB per formula unit



Record 12
! GGA+U FeNi2SbO6, relaxed; values from VASP
&SYSTEM
  ibrav = 0, nat = 10, ntyp = 4
/
ATOMIC_SPECIES
Fe 55.84 Fe.upf
Ni 58.69 Ni.upf
Sb 121.76 Sb.upf
O 16.00 O.upf
ATOMIC_POSITIONS crystal
Fe 0.0000 0.0000 0.0000
Ni 0.2909 0.2909 0.2909
Ni 0.7950 0.7950 0.7950
Sb 0.4946 0.4946 0.4946
O 0.1039 0.7047 0.3863
O 0.2096 0.6002 0.8802
O 0.3863 0.1039 0.7047
O 0.6002 0.8802 0.2096
O 0.7047 0.3863 0.1039
O 0.8802 0.2096 0.6002
CELL_PARAMETERS angstrom
2.5893 1.4949 4.6480
-2.5893 1.4949 4.6480
0.0000 -2.9899 4.6480
! density	6.0	g cm⁻³
! crystal system	trigonal
! space-group type	R3 (146)
! raw total energy	-57.86	eV/cell
! total magnetization	9.00	μB per formula unit



- Which formula does entry 10 have?
  FeNi2RuO6



- What is the formula in the first record?
  Fe3Ni2P6WO24